1.
Crystalline TmBeB at its relaxed geometry, computed with PBE-GGA.

Output
Energy relative to the elements   -0.032 eV/atom
ΔE to the lowest computed polymorph   210 meV per atom

CIF file:
```
data_TmBeB
_symmetry_space_group_name_H-M 'R -3 m'
_symmetry_Int_Tables_number 166
_symmetry_space_group_name_Hall '-R 3 2"'
_cell_length_a 3.4835
_cell_length_b 3.4835
_cell_length_c 26.2939
_cell_angle_alpha 90.00
_cell_angle_beta 90.00
_cell_angle_gamma 120.00
loop_
_atom_site_label
_atom_site_fract_x
_atom_site_fract_y
_atom_site_fract_z
_atom_site_occupancy
Tm1 0.0000 0.0000 0.1032 1
Be1 0.0000 0.0000 0.3562 1
B1 0.0000 0.0000 0.2844 1
```

***

2.
Crystalline NdPb2IO4 at its relaxed geometry, computed with PBE-GGA.

Output
Energy relative to the elements, uncorrected   -1.574 eV/atom

CIF file:
```
data_NdPb2IO4
_symmetry_space_group_name_H-M 'P 4/m m m'
_symmetry_Int_Tables_number 123
_symmetry_space_group_name_Hall '-P 4 2'
_cell_length_a 4.0730
_cell_length_b 4.0730
_cell_length_c 9.6271
_cell_angle_alpha 90.00
_cell_angle_beta 90.00
_cell_angle_gamma 90.00
loop_
_atom_site_label
_atom_site_fract_x
_atom_site_fract_y
_atom_site_fract_z
_atom_site_occupancy
Nd1 0.0000 0.0000 0.0000 1
Pb1 0.5000 0.5000 0.2576 1
I1 0.0000 0.0000 0.5000 1
O1 0.0000 0.5000 0.1462 1
```

***

3.
Crystalline CaCrFeC2 at its relaxed geometry, computed with PBE-GGA.

Output
Energy relative to the elements   -0.049 eV/atom
ΔE to the lowest computed polymorph   0 meV per atom

CIF file:
```
data_CaCrFeC2
_symmetry_space_group_name_H-M 'I -4 m 2'
_symmetry_Int_Tables_number 119
_symmetry_space_group_name_Hall 'I -4 -2'
_cell_length_a 3.5634
_cell_length_b 3.5634
_cell_length_c 10.0353
_cell_angle_alpha 90.00
_cell_angle_beta 90.00
_cell_angle_gamma 90.00
loop_
_atom_site_label
_atom_site_fract_x
_atom_site_fract_y
_atom_site_fract_z
_atom_site_occupancy
Ca1 0.0000 0.0000 0.0000 1
Cr1 0.0000 0.5000 0.7500 1
Fe1 0.0000 0.5000 0.2500 1
C1 0.0000 0.0000 0.3271 1
```

***

| no. | calculated total energy (eV per atom) |
| --- | --- |
| 1 | -4.991 |
| 2 | -5.770 |
| 3 | -7.756 |